# PBE+U HgWF6, relaxed
# - E: -73.176 eV/cell
# - D(E_F): 0.054 states/eV/atom
data_HgWF6
_chemical_formula_sum 'Hg2 W2 F12'
_symmetry_space_group_name_H-M 'C 1 2/m 1'
_symmetry_Int_Tables_number 12
_cell_length_a 6.310
_cell_length_b 8.585
_cell_length_c 6.000
_cell_angle_alpha 90.00
_cell_angle_beta 103.50
_cell_angle_gamma 90.00
loop_
_symmetry_equiv_pos_as_xyz
'x,y,z'
'-x,-y,-z'
'-x,y,-z'
'x,-y,z'
'x+1/2,y+1/2,z'
'-x+1/2,-y+1/2,-z'
'-x+1/2,y+1/2,-z'
'x+1/2,-y+1/2,z'
loop_
_atom_site_label
_atom_site_type_symbol
_atom_site_fract_x
_atom_site_fract_y
_atom_site_fract_z
Hg1 Hg 0.000 0.000 0.000
W1 W 0.000 0.500 0.500
F1 F 0.174 0.346 0.703
F2 F 0.206 0.500 0.315